Compound: TlTeMoAuSe2
Source: OQMD via LeMat-Bulk
Functional: PBE
Structure: optimized geometry

DFT total energy: -54.22 eV for the cell shown
space-group type: Cmcm (63)

abc: 8.352 8.352 10.440
angles: 90.00 90.00 155.44
Each line ends with the local moment (μB).
Fractional coordinates of all 12 atoms:
Au (0.558, 0.442, 0.250)  0.04
Au (0.442, 0.558, 0.750)  0.04
Mo (0.000, 0.000, 0.000)  1.15
Mo (0.000, 0.000, 0.500)  1.19
Se (0.616, 0.384, 0.026)  0.00
Se (0.616, 0.384, 0.474)  0.00
Se (0.384, 0.616, 0.526)  0.00
Se (0.384, 0.616, 0.974)  0.00
Te (0.920, 0.080, 0.250)  -0.04
Te (0.080, 0.920, 0.750)  -0.04
Tl (0.229, 0.771, 0.250)  0.01
Tl (0.771, 0.229, 0.750)  0.01

=====

Compound: TlMoAu3Se4
Source: OQMD via LeMat-Bulk
Functional: PBE
Structure: optimized geometry

DFT total energy: -37.24 eV for the cell shown
space-group type: P-43m (215)

abc: 6.362 6.362 6.362
angles: 90.00 90.00 90.00
Each line ends with the local moment (μB).
Fractional coordinates of all 9 atoms:
Au (0.500, 0.500, 0.000)  0.09
Au (0.500, 0.000, 0.500)  0.05
Au (0.000, 0.500, 0.500)  0.01
Mo (0.500, 0.500, 0.500)  1.48
Se (0.276, 0.276, 0.276)  0.03
Se (0.724, 0.724, 0.276)  0.01
Se (0.724, 0.276, 0.724)  0.01
Se (0.276, 0.724, 0.724)  0.02
Tl (0.000, 0.000, 0.000)  0.01

=====

Compound: Si5Mo3Au
Source: OQMD via LeMat-Bulk
Functional: PBE
Structure: optimized geometry

DFT total energy: -61.20 eV for the cell shown
space-group type: P6/mmm (191)

abc: 5.361 5.361 6.385
angles: 90.00 90.00 120.00
Fractional coordinates of all 9 atoms:
Au (0.000, 0.000, 0.000)
Mo (0.500, 0.000, 0.500)
Mo (0.000, 0.500, 0.500)
Mo (0.500, 0.500, 0.500)
Si (0.667, 0.333, 0.181)
Si (0.333, 0.667, 0.181)
Si (0.000, 0.000, 0.500)
Si (0.667, 0.333, 0.819)
Si (0.333, 0.667, 0.819)

=====

Compound: SiMoAu
Source: OQMD via LeMat-Bulk
Functional: PBE
Structure: optimized geometry

relative energy among the computed polymorphs: 379 meV/atom
DFT total energy: -18.02 eV for the cell shown
space-group type: F-43m (216)

abc: 4.326 4.326 4.326
angles: 60.00 60.00 60.00
Fractional coordinates of all 3 atoms:
Au (0.250, 0.250, 0.250)
Mo (0.000, 0.000, 0.000)
Si (0.750, 0.750, 0.750)

=====

Compound: SnMoAu2
Source: OQMD via LeMat-Bulk
Functional: PBE
Structure: optimized geometry

DFT total energy: -20.03 eV for the cell shown
space-group type: F-43m (216)

abc: 4.712 4.712 4.712
angles: 60.00 60.00 60.00
Each line ends with the local moment (μB).
Fractional coordinates of all 4 atoms:
Au (0.000, 0.000, 0.000)  0.04
Au (0.750, 0.750, 0.750)  0.01
Mo (0.250, 0.250, 0.250)  1.23
Sn (0.500, 0.500, 0.500)  -0.02

=====

Compound: SnMoAu
Source: OQMD via LeMat-Bulk
Functional: PBE
Structure: optimized geometry

DFT total energy: -16.20 eV for the cell shown
space-group type: F-43m (216)

abc: 4.523 4.523 4.523
angles: 60.00 60.00 60.00
Fractional coordinates of all 3 atoms:
Au (0.250, 0.250, 0.250)
Mo (0.750, 0.750, 0.750)
Sn (0.000, 0.000, 0.000)

=====

Compound: Sn2MoAu
Source: OQMD via LeMat-Bulk
Functional: PBE
Structure: optimized geometry

DFT total energy: -19.83 eV for the cell shown
space-group type: F-43m (216)

abc: 4.910 4.910 4.910
angles: 60.00 60.00 60.00
Each line ends with the local moment (μB).
Fractional coordinates of all 4 atoms:
Au (0.500, 0.500, 0.500)  0.03
Mo (0.250, 0.250, 0.250)  1.50
Sn (0.000, 0.000, 0.000)  -0.07
Sn (0.750, 0.750, 0.750)  -0.02

=====

Compound: TaMo2Au
Source: OQMD via LeMat-Bulk
Functional: PBE
Structure: optimized geometry

DFT total energy: -35.90 eV for the cell shown
calculated formation energy: 229 meV per atom
space-group type: F-43m (216)

abc: 4.567 4.567 4.567
angles: 60.00 60.00 60.00
Fractional coordinates of all 4 atoms:
Au (0.250, 0.250, 0.250)
Mo (0.000, 0.000, 0.000)
Mo (0.750, 0.750, 0.750)
Ta (0.500, 0.500, 0.500)

=====

Compound: TcMoAu2
Source: OQMD via LeMat-Bulk
Functional: PBE
Structure: optimized geometry

DFT total energy: -25.76 eV for the cell shown
calculated formation energy: 495 meV per atom
space-group type: F-43m (216)

abc: 4.536 4.536 4.536
angles: 60.00 60.00 60.00
Fractional coordinates of all 4 atoms:
Au (0.000, 0.000, 0.000)
Au (0.750, 0.750, 0.750)
Mo (0.500, 0.500, 0.500)
Tc (0.250, 0.250, 0.250)

=====

Compound: Te5Mo3Au
Source: OQMD via LeMat-Bulk
Functional: PBE
Structure: optimized geometry

DFT total energy: -49.38 eV for the cell shown
space-group type: P6/mmm (191)

abc: 5.738 5.738 8.114
angles: 90.00 90.00 120.00
Fractional coordinates of all 9 atoms:
Au (0.000, 0.000, 0.000)
Mo (0.500, 0.000, 0.500)
Mo (0.000, 0.500, 0.500)
Mo (0.500, 0.500, 0.500)
Te (0.667, 0.333, 0.224)
Te (0.333, 0.667, 0.224)
Te (0.000, 0.000, 0.500)
Te (0.667, 0.333, 0.776)
Te (0.333, 0.667, 0.776)

=====

Compound: TlTe4MoAu3
Source: OQMD via LeMat-Bulk
Functional: PBE
Structure: optimized geometry

DFT total energy: -35.16 eV for the cell shown
space-group type: P-43m (215)

abc: 6.666 6.666 6.666
angles: 90.00 90.00 90.00
Each line ends with the local moment (μB).
Fractional coordinates of all 9 atoms:
Au (0.500, 0.500, 0.000)  0.07
Au (0.500, 0.000, 0.500)  0.04
Au (0.000, 0.500, 0.500)  0.00
Mo (0.500, 0.500, 0.500)  1.60
Te (0.271, 0.271, 0.271)  0.00
Te (0.729, 0.729, 0.271)  -0.01
Te (0.729, 0.271, 0.729)  -0.01
Te (0.271, 0.729, 0.729)  0.00
Tl (0.000, 0.000, 0.000)  0.00

=====

Compound: TlMoAu2
Source: OQMD via LeMat-Bulk
Functional: PBE
Structure: optimized geometry

DFT total energy: -17.58 eV for the cell shown
space-group type: F-43m (216)

abc: 4.720 4.720 4.720
angles: 60.00 60.00 60.00
Fractional coordinates of all 4 atoms:
Au (0.000, 0.000, 0.000)
Au (0.750, 0.750, 0.750)
Mo (0.250, 0.250, 0.250)
Tl (0.500, 0.500, 0.500)

=====

Compound: UMoAu
Source: OQMD via LeMat-Bulk
Functional: PBE
Structure: optimized geometry

relative energy among the computed polymorphs: 174 meV/atom
DFT total energy: -22.85 eV for the cell shown
calculated formation energy: 854 meV per atom
space-group type: F-43m (216)

abc: 4.573 4.573 4.573
angles: 60.00 60.00 60.00
Fractional coordinates of all 3 atoms:
Au (0.250, 0.250, 0.250)
Mo (0.750, 0.750, 0.750)
U (0.000, 0.000, 0.000)

=====

Compound: UMoAu
Source: OQMD via LeMat-Bulk
Functional: PBE
Structure: optimized geometry

relative energy among the computed polymorphs: 0 meV/atom
DFT total energy: -23.37 eV for the cell shown
calculated formation energy: 680 meV per atom
space-group type: F-43m (216)

abc: 4.530 4.530 4.530
angles: 60.00 60.00 60.00
Fractional coordinates of all 3 atoms:
Au (0.250, 0.250, 0.250)
Mo (0.000, 0.000, 0.000)
U (0.750, 0.750, 0.750)

=====

Compound: YMo2Au
Source: OQMD via LeMat-Bulk
Functional: PBE
Structure: optimized geometry

DFT total energy: -30.62 eV for the cell shown
calculated formation energy: 202 meV per atom
space-group type: F-43m (216)

abc: 4.721 4.721 4.721
angles: 60.00 60.00 60.00
Each line ends with the local moment (μB).
Fractional coordinates of all 4 atoms:
Au (0.250, 0.250, 0.250)  0.00
Mo (0.000, 0.000, 0.000)  0.05
Mo (0.750, 0.750, 0.750)  -0.03
Y (0.500, 0.500, 0.500)  0.00

=====

Compound: ZrMo2Au
Source: OQMD via LeMat-Bulk
Functional: PBE
Structure: optimized geometry

DFT total energy: -33.16 eV for the cell shown
calculated formation energy: 88 meV per atom
space-group type: F-43m (216)

abc: 4.639 4.639 4.639
angles: 60.00 60.00 60.00
Fractional coordinates of all 4 atoms:
Au (0.500, 0.500, 0.500)
Mo (0.000, 0.000, 0.000)
Mo (0.250, 0.250, 0.250)
Zr (0.750, 0.750, 0.750)

=====

Compound: Au2N3
Source: OQMD via LeMat-Bulk
Functional: PBE
Structure: optimized geometry

DFT total energy: -45.70 eV for the cell shown
space-group type: R-3c (167)

abc: 5.451 5.451 5.695
angles: 118.59 61.41 120.00
Fractional coordinates of all 10 atoms:
Au (0.647, 0.353, 0.060)
Au (0.853, 0.147, 0.440)
Au (0.147, 0.853, 0.560)
Au (0.353, 0.647, 0.940)
N (0.544, 0.750, 0.250)
N (0.956, 0.456, 0.250)
N (0.250, 0.044, 0.250)
N (0.750, 0.956, 0.750)
N (0.044, 0.544, 0.750)
N (0.456, 0.250, 0.750)

=====

Compound: AuN2
Source: OQMD via LeMat-Bulk
Functional: PBE
Structure: optimized geometry

DFT total energy: -21.01 eV for the cell shown
space-group type: Fd-3m (227)

abc: 4.548 4.548 4.548
angles: 60.00 60.00 60.00
Fractional coordinates of all 6 atoms:
Au (0.000, 0.000, 0.000)
Au (0.250, 0.250, 0.250)
N (0.625, 0.625, 0.125)
N (0.625, 0.125, 0.625)
N (0.125, 0.625, 0.625)
N (0.625, 0.625, 0.625)

=====

Compound: AuN2
Source: OQMD via LeMat-Bulk
Functional: PBE
Structure: optimized geometry

DFT total energy: -13.53 eV for the cell shown
space-group type: Fm-3m (225)

abc: 3.630 3.630 3.630
angles: 60.00 60.00 60.00
Fractional coordinates of all 3 atoms:
Au (0.000, 0.000, 0.000)
N (0.250, 0.250, 0.250)
N (0.750, 0.750, 0.750)

=====

Compound: Nb4AuN3
Source: OQMD via LeMat-Bulk
Functional: PBE
Structure: optimized geometry

DFT total energy: -148.84 eV for the cell shown
space-group type: P6_3/mmc (194)

abc: 3.197 3.197 23.575
angles: 90.00 90.00 120.00
Fractional coordinates of all 16 atoms:
Au (0.333, 0.667, 0.250)
Au (0.667, 0.333, 0.750)
N (0.000, 0.000, 0.000)
N (0.667, 0.333, 0.109)
N (0.667, 0.333, 0.391)
N (0.000, 0.000, 0.500)
N (0.333, 0.667, 0.609)
N (0.333, 0.667, 0.891)
Nb (0.333, 0.667, 0.057)
Nb (0.000, 0.000, 0.154)
Nb (0.000, 0.000, 0.346)
Nb (0.333, 0.667, 0.443)
Nb (0.667, 0.333, 0.557)
Nb (0.000, 0.000, 0.654)
Nb (0.000, 0.000, 0.846)
Nb (0.667, 0.333, 0.943)

=====

Compound: Nb2AuN
Source: OQMD via LeMat-Bulk
Functional: PBE
Structure: optimized geometry

DFT total energy: -68.16 eV for the cell shown
space-group type: P6_3/mmc (194)

abc: 3.199 3.199 13.565
angles: 90.00 90.00 120.00
Fractional coordinates of all 8 atoms:
Au (0.667, 0.333, 0.250)
Au (0.333, 0.667, 0.750)
N (0.000, 0.000, 0.000)
N (0.000, 0.000, 0.500)
Nb (0.333, 0.667, 0.084)
Nb (0.333, 0.667, 0.416)
Nb (0.667, 0.333, 0.584)
Nb (0.667, 0.333, 0.916)

=====

Compound: Nb2AuN
Source: OQMD via LeMat-Bulk
Functional: PBE
Structure: optimized geometry

DFT total energy: -204.46 eV for the cell shown
space-group type: C2/c (15)

abc: 5.542 5.542 13.941
angles: 101.47 101.47 59.98
Fractional coordinates of all 24 atoms:
Au (0.415, 0.248, 0.250)
Au (0.080, 0.920, 0.250)
Au (0.752, 0.585, 0.250)
Au (0.248, 0.415, 0.750)
Au (0.920, 0.080, 0.750)
Au (0.585, 0.752, 0.750)
N (0.000, 0.500, 0.000)
N (0.334, 0.832, 0.000)
N (0.168, 0.666, 0.500)
N (0.500, 0.000, 0.500)
N (0.832, 0.334, 0.500)
N (0.666, 0.168, 0.000)
Nb (0.028, 0.195, 0.084)
Nb (0.695, 0.861, 0.084)
Nb (0.362, 0.528, 0.084)
Nb (0.472, 0.638, 0.416)
Nb (0.139, 0.305, 0.416)
Nb (0.805, 0.972, 0.416)
Nb (0.195, 0.028, 0.584)
Nb (0.861, 0.695, 0.584)
Nb (0.528, 0.362, 0.584)
Nb (0.638, 0.472, 0.916)
Nb (0.305, 0.139, 0.916)
Nb (0.972, 0.805, 0.916)

=====

Compound: Nb3AuN2
Source: OQMD via LeMat-Bulk
Functional: PBE
Structure: optimized geometry

DFT total energy: -107.98 eV for the cell shown
space-group type: P6_3/mmc (194)

abc: 3.134 3.134 19.166
angles: 90.00 90.00 120.00
Fractional coordinates of all 12 atoms:
Au (0.000, 0.000, 0.250)
Au (0.000, 0.000, 0.750)
N (0.333, 0.667, 0.068)
N (0.333, 0.667, 0.432)
N (0.667, 0.333, 0.568)
N (0.667, 0.333, 0.932)
Nb (0.000, 0.000, 0.000)
Nb (0.667, 0.333, 0.130)
Nb (0.667, 0.333, 0.370)
Nb (0.000, 0.000, 0.500)
Nb (0.333, 0.667, 0.630)
Nb (0.333, 0.667, 0.870)

=====

Compound: Ta4Nb2Au3N3
Source: OQMD via LeMat-Bulk
Functional: PBE
Structure: optimized geometry

DFT total energy: -218.46 eV for the cell shown
space-group type: C2/c (15)

abc: 5.511 5.511 13.885
angles: 90.08 101.37 119.99
Fractional coordinates of all 24 atoms:
Au (0.832, 0.238, 0.248)
Au (0.177, 0.927, 0.250)
Au (0.490, 0.584, 0.252)
Au (0.510, 0.416, 0.748)
Au (0.823, 0.073, 0.750)
Au (0.168, 0.762, 0.752)
N (0.328, 0.154, 0.000)
N (0.000, 0.500, 0.000)
N (0.672, 0.846, 0.000)
N (0.345, 0.672, 0.500)
N (0.000, 0.000, 0.500)
N (0.655, 0.328, 0.500)
Nb (0.718, 0.529, 0.086)
Nb (0.944, 0.632, 0.414)
Nb (0.056, 0.368, 0.586)
Nb (0.282, 0.471, 0.914)
Ta (0.389, 0.855, 0.084)
Ta (0.063, 0.201, 0.084)
Ta (0.271, 0.305, 0.416)
Ta (0.617, 0.978, 0.416)
Ta (0.383, 0.022, 0.584)
Ta (0.729, 0.695, 0.584)
Ta (0.937, 0.799, 0.916)
Ta (0.611, 0.145, 0.916)